Entry 1:
A plane-wave DFT calculation with PBE was carried out for Ac4BiPb2 after structural relaxation.

Calculated values
crystal system	tetragonal
energy relative to the elements	-647	meV per atom
ρ	9.33	Mg/m³
total magnetic moment	0.0	μB per cell
final energy	-4.6086	eV/atom

```
Ac4BiPb2
1.0
-5.155 5.155 5.129
5.155 -5.155 5.129
5.155 5.155 -5.129
Ac Bi Pb
8 2 4
direct
0.128 0.237 0.749
0.128 0.738 0.751
0.262 0.013 0.390
0.488 0.378 0.251
0.622 0.872 0.110
0.622 0.872 0.610
0.763 0.512 0.890
0.987 0.378 0.249
0.000 0.000 0.000
0.750 0.250 0.500
0.247 0.625 0.122
0.375 0.497 0.622
0.503 0.125 0.878
0.875 0.753 0.378
```

Entry 2:
A plane-wave DFT calculation with PBE was carried out for Ac4Bi2Pb after structural relaxation.

Calculated values
crystal system	tetragonal
energy relative to the elements	-733	meV per atom
ρ	9.38	Mg/m³
total magnetic moment	0.0	μB per cell
final energy	-4.7190	eV/atom

```
Ac4Bi2Pb
1.0
-5.130 5.130 5.157
5.130 -5.130 5.157
5.130 5.130 -5.157
Ac Bi Pb
8 4 2
direct
0.127 0.516 0.749
0.128 0.016 0.751
0.266 0.377 0.249
0.484 0.234 0.611
0.622 0.873 0.389
0.623 0.872 0.889
0.766 0.378 0.251
0.984 0.734 0.111
0.375 0.002 0.127
0.752 0.625 0.627
0.875 0.248 0.873
0.998 0.125 0.373
0.250 0.750 0.500
0.500 0.500 0.000
```

Entry 3:
A plane-wave DFT calculation with PBE was carried out for Ac2BiPb after structural relaxation.

Calculated values
crystal system	orthorhombic
energy relative to the elements	-599	meV per atom
ρ	8.99	Mg/m³
polymorph energy (0 for the lowest one)	159	meV per atom
total magnetic moment	2.1	μB per cell
final energy	-4.5502	eV/atom

```
Ac2BiPb
1.0
9.106 0.000 0.000
0.000 4.633 0.000
0.000 0.000 15.243
Ac Bi Pb
8 4 4
direct
0.180 0.250 0.233
0.184 0.750 0.992
0.316 0.250 0.492
0.320 0.750 0.733
0.680 0.250 0.267
0.684 0.750 0.508
0.816 0.250 0.008
0.820 0.750 0.767
0.078 0.250 0.834
0.422 0.750 0.334
0.578 0.250 0.666
0.922 0.750 0.166
0.040 0.750 0.570
0.460 0.250 0.070
0.540 0.750 0.930
0.960 0.250 0.430
```

Number 2 is which compound? Ac4Bi2Pb

Which of these has the highest ρ? Ac4Bi2Pb

Among the records above, which one has the lowest final energy? Ac4Bi2Pb